--- a ---
Entry from the Alexandria database: a geometry-optimized Cs2Pd2Pt structure (PBE).

a b c (Å): 6.9570 6.9570 5.6999
angles (deg): 90.00 90.00 90.00
Space group P4/mbm (No. 127)
Asymmetric unit:
Cs  0.1856  0.3144  0.0000
Pd  0.1354  0.6354  0.5000
Pt  0.0000  0.0000  0.5000

DOS at the Fermi energy, states/eV/cell: 7.437



--- b ---
Entry from the Alexandria database: a geometry-optimized Cs2Pd2Pt structure (PBE).

a b c (Å): 4.6112 4.6112 32.8765
angles (deg): 90.00 90.00 120.00
Space group R-3m (No. 166, hexagonal axes)
Asymmetric unit:
Cs  0.0000  0.0000  0.0803
Pd  0.0000  0.0000  0.1759
Pt  0.0000  0.0000  0.5000

DOS at the Fermi energy, states/eV/cell: 9.590



Which is most stable, and by how much? b, by 278 meV/atom.



--- a ---
Entry from the Alexandria database: a geometry-optimized CsPd2Pt structure (PBE).

a b c (Å): 6.9113 6.9113 6.9113
angles (deg): 90.00 90.00 90.00
Space group Fm-3m (No. 225)
Asymmetric unit:
Cs  0.0000  0.0000  0.0000
Pd  0.2500  0.2500  0.2500
Pt  0.0000  0.0000  0.5000

DOS at the Fermi energy, states/eV/cell: 12.699



--- b ---
Entry from the Alexandria database: a geometry-optimized CsPd2Pt structure (PBE).

a b c (Å): 5.3626 5.3626 17.2736
angles (deg): 90.00 90.00 90.00
Space group I-42d (No. 122)
Asymmetric unit:
Cs  0.0000  0.0000  0.0000
Pd  0.0232  0.2500  0.6250
Pt  0.0000  0.0000  0.5000

DOS at the Fermi energy, states/eV/cell: 13.191



Which is most stable, and by how much? b, by 279 meV/atom.



--- a ---
Entry from the Alexandria database: a geometry-optimized Cs2RbPd structure (PBE).

a b c (Å): 5.6603 5.6603 29.8284
angles (deg): 90.00 90.00 120.00
Space group R3m (No. 160, hexagonal axes)
Asymmetric unit:
Cs  0.0000  0.0000  0.0000
Cs  0.0000  0.0000  0.2408
Rb  0.0000  0.0000  0.4789
Pd  0.0000  0.0000  0.6040

DOS at the Fermi energy, states/eV/cell: 4.844



--- b ---
Entry from the Alexandria database: a geometry-optimized Cs2RbPd structure (PBE).

a b c (Å): 9.2324 9.2324 9.2324
angles (deg): 90.00 90.00 90.00
Space group Fm-3m (No. 225)
Asymmetric unit:
Cs  0.2500  0.2500  0.2500
Rb  0.0000  0.0000  0.0000
Pd  0.0000  0.0000  0.5000

DOS at the Fermi energy, states/eV/cell: 21.321



Which is most stable, and by how much? a, by 136 meV/atom.



--- a ---
Entry from the Alexandria database: a geometry-optimized CsRbTePdSe structure (PBE).

a b c (Å): 13.1724 4.5992 8.6054
angles (deg): 90.00 125.31 90.00
Space group Cm (No. 8)
Asymmetric unit:
Cs  0.0000  0.0000  0.0000
Rb  0.4938  0.0000  0.4672
Te  0.2538  0.0000  0.5585
Pd  0.2557  0.5000  0.4193
Se  0.2618  0.5000  0.1462

DOS at the Fermi energy, states/eV/cell: 5.566



--- b ---
Entry from the Alexandria database: a geometry-optimized CsRbTePdSe structure (PBE).

a b c (Å): 4.0075 7.0318 7.0998
angles (deg): 69.56 73.87 73.71
Space group P1 (No. 1)
Asymmetric unit:
Cs  0.0000  0.0000  0.0000
Rb  0.3814  0.6130  0.6122
Te  0.6871  0.1206  0.4984
Pd  0.1891  0.3355  0.2794
Se  0.6915  0.5312  0.0788



--- c ---
Entry from the Alexandria database: a geometry-optimized CsRbTePdSe structure (PBE).

a b c (Å): 13.5212 4.4013 8.5374
angles (deg): 90.00 128.32 90.00
Space group Cm (No. 8)
Asymmetric unit:
Cs  0.0000  0.0000  0.0000
Rb  0.4590  0.0000  0.4579
Te  0.2210  0.0000  0.8660
Pd  0.2279  0.0000  0.5735
Se  0.2285  0.5000  0.4517

DOS at the Fermi energy, states/eV/cell: 5.550



--- d ---
Entry from the Alexandria database: a geometry-optimized CsRbTePdSe structure (PBE).

a b c (Å): 5.7620 5.2432 6.3937
angles (deg): 90.00 95.18 90.00
Space group Pm (No. 6)
Asymmetric unit:
Cs  0.0000  0.0000  0.0000
Rb  0.5782  0.0000  0.5076
Te  0.1302  0.5000  0.5608
Pd  0.3250  0.5000  0.2131
Se  0.4815  0.5000  0.8712

DOS at the Fermi energy, states/eV/cell: 0.659



Which is most stable, and by how much? b, by 134 meV/atom.



--- a ---
Entry from the Alexandria database: a geometry-optimized CsRbTePdSe structure (PBE).

a b c (Å): 16.0716 6.1391 4.0140
angles (deg): 90.00 90.12 90.00
Space group Cm (No. 8)
Asymmetric unit:
Cs  0.0000  0.0000  0.0000
Rb  0.2500  0.0000  0.5333
Te  0.1137  0.5000  0.4980
Pd  0.2227  0.5000  0.9995
Se  0.3232  0.5000  0.4982



--- b ---
Entry from the Alexandria database: a geometry-optimized CsRbTePdSe structure (PBE).

a b c (Å): 6.1243 6.2844 6.7895
angles (deg): 117.37 111.41 94.61
Space group P1 (No. 1)
Asymmetric unit:
Cs  0.0000  0.0000  0.0000
Rb  0.5694  0.5734  0.1448
Te  0.6082  0.2261  0.5712
Pd  0.4219  0.5801  0.5748
Se  0.2658  0.9195  0.5597

DOS at the Fermi energy, states/eV/cell: 0.318



Which is most stable, and by how much? a, by 168 meV/atom.



--- a ---
Entry from the Alexandria database: a geometry-optimized CsRbTePdSe structure (PBE).

a b c (Å): 6.3236 3.9888 7.4761
angles (deg): 90.00 109.23 90.00
Space group Pm (No. 6)
Asymmetric unit:
Cs  0.0000  0.0000  0.0000
Rb  0.3602  0.0000  0.6191
Te  0.8118  0.5000  0.4953
Pd  0.6405  0.0000  0.2591
Se  0.4959  0.5000  0.0365



--- b ---
Entry from the Alexandria database: a geometry-optimized CsRbTePdSe structure (PBE).

a b c (Å): 4.4384 5.5469 16.6955
angles (deg): 90.00 90.00 90.00
Space group Imm2 (No. 44)
Asymmetric unit:
Cs  0.0000  0.0000  0.0000
Rb  0.0000  0.5000  0.7442
Te  0.0000  0.5000  0.3104
Pd  0.0000  0.5000  0.1570
Se  0.0000  0.0000  0.5982

DOS at the Fermi energy, states/eV/cell: 3.101



--- c ---
Entry from the Alexandria database: a geometry-optimized CsRbTePdSe structure (PBE).

a b c (Å): 5.5091 6.1924 7.0213
angles (deg): 84.52 67.27 89.68
Space group P1 (No. 1)
Asymmetric unit:
Cs  0.0000  0.0000  0.0000
Rb  0.2501  0.5236  0.4917
Te  0.7023  0.9192  0.5836
Pd  0.6251  0.2786  0.7463
Se  0.5498  0.6151  0.9069

DOS at the Fermi energy, states/eV/cell: 0.297



Which is most stable, and by how much? a, by 109 meV/atom.



--- a ---
Entry from the Alexandria database: a geometry-optimized CsRePd3 structure (PBE).

a b c (Å): 5.1999 5.1999 5.1999
angles (deg): 90.00 90.00 90.00
Space group Pm-3m (No. 221)
Asymmetric unit:
Cs  0.0000  0.0000  0.0000
Re  0.5000  0.5000  0.5000
Pd  0.0000  0.0000  0.5000

DOS at the Fermi energy, states/eV/cell: 3.553



--- b ---
Entry from the Alexandria database: a geometry-optimized CsRePd3 structure (PBE).

a b c (Å): 5.0093 5.0093 5.0093
angles (deg): 90.00 90.00 90.00
Space group Pm-3m (No. 221)
Asymmetric unit:
Cs  0.0000  0.0000  0.0000
Re  0.5000  0.5000  0.5000
Pd  0.0000  0.5000  0.5000

DOS at the Fermi energy, states/eV/cell: 6.114



Which is most stable, and by how much? b, by 1456 meV/atom.



--- a ---
Entry from the Alexandria database: a geometry-optimized CsRePd structure (PBE).

a b c (Å): 9.3686 3.5172 11.3721
angles (deg): 90.00 90.00 90.00
Space group Pnma (No. 62)
Asymmetric unit:
Cs  0.0666  0.2500  0.1738
Re  0.0750  0.2500  0.5289
Pd  0.2255  0.7500  0.4086

DOS at the Fermi energy, states/eV/cell: 8.918



--- b ---
Entry from the Alexandria database: a geometry-optimized CsRePd structure (PBE).

a b c (Å): 4.7789 5.5101 10.7176
angles (deg): 90.00 90.00 90.00
Space group Imma (No. 74)
Asymmetric unit:
Cs  0.0000  0.2500  0.1303
Re  0.0000  0.2500  0.5543
Pd  0.0000  0.2500  0.8052

DOS at the Fermi energy, states/eV/cell: 14.872



Which is most stable, and by how much? a, by 628 meV/atom.



--- a ---
Entry from the Alexandria database: a geometry-optimized CsPdS structure (PBE).

a b c (Å): 4.3372 6.8133 6.8592
angles (deg): 106.11 106.25 92.57
Space group P-1 (No. 2)
Asymmetric unit:
Cs  0.0731  0.3096  0.1958
Pd  0.2007  0.8893  0.4050
S  0.3588  0.2165  0.7118

DOS at the Fermi energy, states/eV/cell: 1.041



--- b ---
Entry from the Alexandria database: a geometry-optimized CsPdS structure (PBE).

a b c (Å): 4.1351 4.1351 5.6043
angles (deg): 90.00 90.00 120.00
Space group P-6m2 (No. 187)
Asymmetric unit:
Cs  0.0000  0.0000  0.0000
Pd  0.6667  0.3333  0.5000
S  0.3333  0.6667  0.5000

DOS at the Fermi energy, states/eV/cell: 3.148



Which is most stable, and by how much? a, by 96 meV/atom.



--- a ---
Entry from the Alexandria database: a geometry-optimized CsPdS structure (PBE).

a b c (Å): 6.1490 14.7155 4.3899
angles (deg): 90.00 90.00 90.00
Space group Cmcm (No. 63)
Asymmetric unit:
Cs  0.0000  0.1524  0.2500
Pd  0.0000  0.4460  0.7500
S  0.0000  0.3864  0.2500

DOS at the Fermi energy, states/eV/cell: 3.706



--- b ---
Entry from the Alexandria database: a geometry-optimized CsPdS structure (PBE).

a b c (Å): 13.5891 4.3915 7.0497
angles (deg): 90.00 104.55 90.00
Space group C2/m (No. 12)
Asymmetric unit:
Cs  0.1038  0.0000  0.2901
Pd  0.1942  0.5000  0.9121
S  0.1601  0.0000  0.7961

DOS at the Fermi energy, states/eV/cell: 5.238



--- c ---
Entry from the Alexandria database: a geometry-optimized CsPdS structure (PBE).

a b c (Å): 3.5953 3.5953 12.1688
angles (deg): 90.00 90.00 90.00
Space group I4mm (No. 107)
Asymmetric unit:
Cs  0.0000  0.0000  0.0000
Pd  0.0000  0.0000  0.2604
S  0.0000  0.0000  0.7280

DOS at the Fermi energy, states/eV/cell: 3.517



Which is most stable, and by how much? a, by 21 meV/atom.



--- a ---
Entry from the Alexandria database: a geometry-optimized CsPd3S structure (PBE).

a b c (Å): 4.7923 4.7923 4.7923
angles (deg): 90.00 90.00 90.00
Space group Pm-3m (No. 221)
Asymmetric unit:
Cs  0.0000  0.0000  0.0000
Pd  0.0000  0.5000  0.5000
S  0.5000  0.5000  0.5000

DOS at the Fermi energy, states/eV/cell: 4.915



--- b ---
Entry from the Alexandria database: a geometry-optimized CsPd3S structure (PBE).

a b c (Å): 5.2302 5.2302 5.2302
angles (deg): 90.00 90.00 90.00
Space group Pm-3m (No. 221)
Asymmetric unit:
Cs  0.0000  0.0000  0.0000
Pd  0.0000  0.0000  0.5000
S  0.5000  0.5000  0.5000

DOS at the Fermi energy, states/eV/cell: 3.704



Which is most stable, and by how much? a, by 1615 meV/atom.